[1]
## Ga2Pd2Se (PBE-GGA)

Data for crystalline Ga2Pd2Se at its relaxed geometry.

Results
Volume, Å³/cell: 167.2
DOS at the Fermi energy, states/eV per atom: 0.429
M_tot, μB/cell: 0.000
E_form (uncorrected), eV/f.u.: -1.76

Cell: 7.5768 7.5768 2.9126 Å, 90.00 90.00 90.00°
Fractional coordinates of all 10 atoms:
Ga 0.1564 0.3436 0.0000
Ga 0.3436 0.8436 0.0000
Ga 0.6564 0.1564 0.0000
Ga 0.8436 0.6564 0.0000
Pd 0.1408 0.6408 0.5000
Pd 0.3592 0.1408 0.5000
Pd 0.6408 0.8592 0.5000
Pd 0.8592 0.3592 0.5000
Se 0.0000 0.0000 0.5000
Se 0.5000 0.5000 0.5000

[2]
## LaPr4Y2Mg (PBE-GGA)

Data for crystalline LaPr4Y2Mg at its relaxed geometry.

Results
Volume, Å³/cell: 545.3
DOS at the Fermi energy, states/eV per atom: 1.843
M_tot, μB/cell: 0.062
Uncorrected energy, eV/atom: -4.52

Cell: 9.5734 9.5734 6.8685 Å, 111.02 111.02 87.99°
Fractional coordinates of all 16 atoms:
La 0.0000 0.0000 0.0000
La 0.0000 0.0000 0.5000
Pr 0.2361 0.2587 0.4965
Pr 0.2492 0.7508 0.5090
Pr 0.2492 0.7508 0.9910
Pr 0.2587 0.2361 0.9965
Pr 0.7413 0.7639 0.0035
Pr 0.7508 0.2492 0.0090
Pr 0.7508 0.2492 0.4910
Pr 0.7639 0.7413 0.5035
Y 0.0000 0.5000 0.0000
Y 0.5000 0.0000 0.5000
Y 0.5000 0.5000 0.0000
Y 0.5000 0.5000 0.5000
Mg 0.0000 0.5000 0.5000
Mg 0.5000 0.0000 0.0000

[3]
## Ba2TlInPd6 (PBE-GGA)

Data for crystalline Ba2TlInPd6 at its relaxed geometry.

Results
Volume, Å³/cell: 247.1
DOS at the Fermi energy, states/eV per atom: 0.274
M_tot, μB/cell: 0.000
Uncorrected energy, eV/atom: -4.48

Cell: 7.1231 7.1231 9.1815 Å, 129.37 129.37 47.32°
Fractional coordinates of all 10 atoms:
Ba 0.2497 0.2497 0.2073
Ba 0.7503 0.7503 0.7927
Tl 0.5000 0.5000 0.0000
In 0.0000 0.0000 0.5000
Pd 0.2346 0.7341 0.7310
Pd 0.2490 0.2490 0.5848
Pd 0.2659 0.7654 0.2690
Pd 0.7341 0.2346 0.7310
Pd 0.7510 0.7510 0.4152
Pd 0.7654 0.2659 0.2690

[4]
## K3TaHg (PBE-GGA)

Data for crystalline K3TaHg at its relaxed geometry.

Results
Volume, Å³/cell: 255.2
DOS at the Fermi energy, states/eV per atom: 1.344
M_tot, μB/cell: 4.618
Uncorrected energy, eV/atom: -1.83

Cell: 6.3427 6.3427 6.3427 Å, 90.00 90.00 90.00°
Fractional coordinates of all 5 atoms:
K 0.0000 0.0000 0.5000
K 0.0000 0.5000 0.0000
K 0.5000 0.0000 0.0000
Ta 0.5000 0.5000 0.5000
Hg 0.0000 0.0000 0.0000

[5]
## SrLi2CaHg4 (PBE-GGA)

Data for crystalline SrLi2CaHg4 at its relaxed geometry.

Results
Volume, Å³/cell: 203.6
DOS at the Fermi energy, states/eV per atom: 0.628
M_tot, μB/cell: 0.000
Uncorrected energy, eV/atom: -1.50

Cell: 9.7444 9.7444 9.7444 Å, 29.90 29.90 29.90°
Fractional coordinates of all 8 atoms:
Sr 0.0000 0.0000 0.0000
Li 0.2420 0.2420 0.2420
Li 0.7580 0.7580 0.7580
Ca 0.5000 0.5000 0.5000
Hg 0.1211 0.1211 0.1211
Hg 0.3896 0.3896 0.3896
Hg 0.6104 0.6104 0.6104
Hg 0.8789 0.8789 0.8789

[6]
## RbYCu2 (PBE-GGA)

Data for crystalline RbYCu2 at its relaxed geometry.

Results
Volume, Å³/cell: 488.9
DOS at the Fermi energy, states/eV per atom: 0.921
M_tot, μB/cell: 0.000
Uncorrected energy, eV/atom: -3.30

Cell: 8.0644 8.0644 7.5168 Å, 90.00 90.00 90.00°
Fractional coordinates of all 16 atoms:
Rb 0.0000 0.0000 0.0000
Rb 0.0000 0.5000 0.2500
Rb 0.5000 0.0000 0.7500
Rb 0.5000 0.5000 0.5000
Y 0.0000 0.0000 0.5000
Y 0.0000 0.5000 0.7500
Y 0.5000 0.0000 0.2500
Y 0.5000 0.5000 0.0000
Cu 0.2052 0.2500 0.6250
Cu 0.2500 0.7052 0.8750
Cu 0.2500 0.7948 0.3750
Cu 0.2948 0.2500 0.1250
Cu 0.7052 0.7500 0.1250
Cu 0.7500 0.2052 0.3750
Cu 0.7500 0.2948 0.8750
Cu 0.7948 0.7500 0.6250

[7]
## InGaSnBi (PBE-GGA)

Data for crystalline InGaSnBi at its relaxed geometry.

Results
Volume, Å³/cell: 440.4
DOS at the Fermi energy, states/eV per atom: 0.518
M_tot, μB/cell: 0.000
Uncorrected energy, eV/atom: -3.32

Cell: 7.6080 7.6080 7.6080 Å, 90.00 90.00 90.00°
Fractional coordinates of all 16 atoms:
In 0.0000 0.0000 0.0000
In 0.0000 0.5000 0.5000
In 0.5000 0.0000 0.5000
In 0.5000 0.5000 0.0000
Ga 0.2500 0.2500 0.7500
Ga 0.2500 0.7500 0.2500
Ga 0.7500 0.2500 0.2500
Ga 0.7500 0.7500 0.7500
Sn 0.2500 0.2500 0.2500
Sn 0.2500 0.7500 0.7500
Sn 0.7500 0.2500 0.7500
Sn 0.7500 0.7500 0.2500
Bi 0.0000 0.0000 0.5000
Bi 0.0000 0.5000 0.0000
Bi 0.5000 0.0000 0.0000
Bi 0.5000 0.5000 0.5000

[8]
## YHf (PBE-GGA)

Data for crystalline YHf at its relaxed geometry.

Results
Volume, Å³/cell: 227.5
DOS at the Fermi energy, states/eV per atom: 1.189
M_tot, μB/cell: 0.001
Uncorrected energy, eV/atom: -7.46

Cell: 6.0287 6.0287 6.2599 Å, 90.00 90.00 90.00°
Fractional coordinates of all 8 atoms:
Y 0.1799 0.1799 0.0000
Y 0.3201 0.6799 0.5000
Y 0.6799 0.3201 0.5000
Y 0.8201 0.8201 0.0000
Hf 0.1672 0.1672 0.5000
Hf 0.3328 0.6672 0.0000
Hf 0.6672 0.3328 0.0000
Hf 0.8328 0.8328 0.5000

[9]
## Ca2IrAu (PBE-GGA)

Data for crystalline Ca2IrAu at its relaxed geometry.

Results
Volume, Å³/cell: 352.7
DOS at the Fermi energy, states/eV per atom: 0.762
M_tot, μB/cell: 0.000
Uncorrected energy, eV/atom: -4.31

Cell: 4.5004 4.5004 20.1088 Å, 90.00 90.00 120.00°
Fractional coordinates of all 12 atoms:
Ca 0.0000 0.0000 0.0000
Ca 0.0000 0.0000 0.1725
Ca 0.3333 0.6667 0.6667
Ca 0.3333 0.6667 0.8392
Ca 0.6667 0.3333 0.3333
Ca 0.6667 0.3333 0.5058
Ir 0.0000 0.0000 0.4188
Ir 0.3333 0.6667 0.0854
Ir 0.6667 0.3333 0.7521
Au 0.0000 0.0000 0.7535
Au 0.3333 0.6667 0.4201
Au 0.6667 0.3333 0.0868

[10]
## NaCa5O6 (PBE-GGA)

Data for crystalline NaCa5O6 at its relaxed geometry.

Results
Volume, Å³/cell: 170.1
DOS at the Fermi energy, states/eV per atom: 0.897
M_tot, μB/cell: 0.776
E_form (uncorrected), eV/f.u.: -31.14

Cell: 5.9302 5.9302 5.9223 Å, 99.61 99.61 119.98°
Fractional coordinates of all 12 atoms:
Na 0.0000 0.0000 0.0000
Ca 0.1633 0.8367 0.5000
Ca 0.3329 0.6671 0.0000
Ca 0.5000 0.5000 0.5000
Ca 0.6671 0.3329 0.0000
Ca 0.8367 0.1633 0.5000
O 0.0858 0.4322 0.2566
O 0.2599 0.2599 0.7423
O 0.4322 0.0858 0.2566
O 0.5678 0.9142 0.7434
O 0.7401 0.7401 0.2577
O 0.9142 0.5678 0.7434

[11]
## Pm7DyPb4 (PBE-GGA)

Data for crystalline Pm7DyPb4 at its relaxed geometry.

Results
Volume, Å³/cell: 391.9
DOS at the Fermi energy, states/eV per atom: 0.903
M_tot, μB/cell: 0.000
Uncorrected energy, eV/atom: -4.54

Cell: 7.8446 7.8446 11.0532 Å, 121.82 121.82 44.51°
Fractional coordinates of all 12 atoms:
Pm 0.0000 0.0000 0.0000
Pm 0.1996 0.1996 0.6256
Pm 0.2910 0.2910 0.1095
Pm 0.4454 0.4454 0.6262
Pm 0.5546 0.5546 0.3738
Pm 0.7090 0.7090 0.8905
Pm 0.8004 0.8004 0.3744
Dy 0.5000 0.5000 0.0000
Pb 0.0648 0.0648 0.7597
Pb 0.1998 0.1998 0.3289
Pb 0.8002 0.8002 0.6711
Pb 0.9352 0.9352 0.2403

[12]
## PrThZn2 (PBE-GGA)

Data for crystalline PrThZn2 at its relaxed geometry.

Results
Volume, Å³/cell: 325.0
DOS at the Fermi energy, states/eV per atom: 1.046
M_tot, μB/cell: 0.000
Uncorrected energy, eV/atom: -3.72

Cell: 3.6740 3.6740 27.8041 Å, 90.00 90.00 120.00°
Fractional coordinates of all 12 atoms:
Pr 0.0000 0.0000 0.0000
Pr 0.3333 0.6667 0.6667
Pr 0.6667 0.3333 0.3333
Th 0.0000 0.0000 0.5000
Th 0.3333 0.6667 0.1667
Th 0.6667 0.3333 0.8333
Zn 0.0000 0.0000 0.2501
Zn 0.0000 0.0000 0.7499
Zn 0.3333 0.6667 0.4166
Zn 0.3333 0.6667 0.9167
Zn 0.6667 0.3333 0.0833
Zn 0.6667 0.3333 0.5834